Entry 1:
DFT (PBE) results for crystalline Li3Pd3Pb at its relaxed geometry.

Values from the calculation:
excess energy over the best structure of this formula in the dataset	0.0413	eV/atom
calculated formation energy	-0.3547	eV/atom

The structure in CIF format:
```
data_Li3Pd3Pb
_cell_length_a 7.4279
_cell_length_b 7.4279
_cell_length_c 4.6557
_cell_angle_alpha 90.00
_cell_angle_beta 90.00
_cell_angle_gamma 120.00
_space_group_name_H-M_alt 'P 63/m'
_space_group_IT_number 176
_space_group_name_Hall '-P 6c'
loop_
_atom_site_label
_atom_site_type_symbol
_atom_site_fract_x
_atom_site_fract_y
_atom_site_fract_z
_atom_site_occupancy
Li1 Li 0.0850 0.4447 0.2500 1
Pd1 Pd 0.0451 0.2410 0.7500 1
Pb1 Pb 0.3333 0.6667 0.7500 1
```

Entry 2:
DFT (PBE) results for crystalline LiPd6Pb6 at its relaxed geometry.

Values from the calculation:
calculated formation energy	-0.2469	eV/atom

The structure in CIF format:
```
data_LiPd6Pb6
_cell_length_a 5.8615
_cell_length_b 5.8615
_cell_length_c 9.2918
_cell_angle_alpha 90.00
_cell_angle_beta 90.00
_cell_angle_gamma 120.00
_space_group_name_H-M_alt 'P 6/m m m'
_space_group_IT_number 191
_space_group_name_Hall '-P 6 2'
loop_
_atom_site_label
_atom_site_type_symbol
_atom_site_fract_x
_atom_site_fract_y
_atom_site_fract_z
_atom_site_occupancy
Li1 Li 0.0000 0.0000 0.0000 1
Pd1 Pd 0.0000 0.5000 0.2463 1
Pb1 Pb 0.0000 0.0000 0.3287 1
Pb2 Pb 0.3333 0.6667 0.0000 1
Pb3 Pb 0.3333 0.6667 0.5000 1
```

Entry 3:
DFT (PBE) results for crystalline Li3PdPb2 at its relaxed geometry.

Values from the calculation:
excess energy over the best structure of this formula in the dataset	0.0000	eV/atom
calculated formation energy	-0.2736	eV/atom

The structure in CIF format:
```
data_Li3PdPb2
_cell_length_a 14.806
_cell_length_b 5.242
_cell_length_c 6.384
_cell_angle_alpha 90.00
_cell_angle_beta 90.00
_cell_angle_gamma 90.00
_space_group_name_H-M_alt 'C m c m'
_space_group_IT_number 63
_space_group_name_Hall '-C 2c 2'
loop_
_atom_site_label
_atom_site_type_symbol
_atom_site_fract_x
_atom_site_fract_y
_atom_site_fract_z
_atom_site_occupancy
Li1 Li 0.000 0.188 0.250 1
Li2 Li 0.178 0.018 0.750 1
Pd1 Pd 0.000 0.296 0.750 1
Pb1 Pb 0.142 0.500 0.000 1
```

Entry 4:
DFT (PBE) results for crystalline LiPd12Pb3 at its relaxed geometry.

Values from the calculation:
calculated formation energy	-0.2622	eV/atom

The structure in CIF format:
```
data_LiPd12Pb3
_cell_length_a 4.084
_cell_length_b 4.084
_cell_length_c 16.026
_cell_angle_alpha 90.00
_cell_angle_beta 90.00
_cell_angle_gamma 90.00
_space_group_name_H-M_alt 'P 4/m m m'
_space_group_IT_number 123
_space_group_name_Hall '-P 4 2'
loop_
_atom_site_label
_atom_site_type_symbol
_atom_site_fract_x
_atom_site_fract_y
_atom_site_fract_z
_atom_site_occupancy
Li1 Li 0.000 0.000 0.000 1
Pd1 Pd 0.000 0.500 0.114 1
Pd2 Pd 0.000 0.500 0.371 1
Pd3 Pd 0.500 0.500 0.000 1
Pd4 Pd 0.500 0.500 0.244 1
Pd5 Pd 0.500 0.500 0.500 1
Pb1 Pb 0.000 0.000 0.241 1
Pb2 Pb 0.000 0.000 0.500 1
```

Entry 5:
DFT (PBE) results for crystalline Li7PdPb4 at its relaxed geometry.

Values from the calculation:
calculated formation energy	-0.2079	eV/atom

The structure in CIF format:
```
data_Li7PdPb4
_cell_length_a 14.429
_cell_length_b 4.953
_cell_length_c 8.374
_cell_angle_alpha 90.00
_cell_angle_beta 124.51
_cell_angle_gamma 90.00
_space_group_name_H-M_alt 'C 1 2/m 1'
_space_group_IT_number 12
loop_
_space_group_symop_operation_xyz
'x,y,z'
'-x,-y,-z'
'-x,y,-z'
'x,-y,z'
'x+1/2,y+1/2,z'
'-x+1/2,-y+1/2,-z'
'-x+1/2,y+1/2,-z'
'x+1/2,-y+1/2,z'
loop_
_atom_site_label
_atom_site_type_symbol
_atom_site_fract_x
_atom_site_fract_y
_atom_site_fract_z
_atom_site_occupancy
Li1 Li 0.000 0.000 0.000 1
Li2 Li 0.058 0.500 0.353 1
Li3 Li 0.177 0.500 0.007 1
Li4 Li 0.198 0.000 0.540 1
Pd1 Pd 0.000 0.500 0.000 1
Pb1 Pb 0.080 0.000 0.748 1
Pb2 Pb 0.240 0.000 0.240 1
```

Entry 6:
DFT (PBE) results for crystalline Li3Pd4Pb at its relaxed geometry.

Values from the calculation:
excess energy over the best structure of this formula in the dataset	0.1483	eV/atom
calculated formation energy	-0.2898	eV/atom

The structure in CIF format:
```
data_Li3Pd4Pb
_cell_length_a 5.427
_cell_length_b 9.186
_cell_length_c 5.073
_cell_angle_alpha 90.00
_cell_angle_beta 90.00
_cell_angle_gamma 90.00
_space_group_name_H-M_alt 'I m m 2'
_space_group_IT_number 44
loop_
_space_group_symop_operation_xyz
'x,y,z'
'-x,-y,z'
'-x,y,z'
'x,-y,z'
'x+1/2,y+1/2,z+1/2'
'-x+1/2,-y+1/2,z+1/2'
'-x+1/2,y+1/2,z+1/2'
'x+1/2,-y+1/2,z+1/2'
loop_
_atom_site_label
_atom_site_type_symbol
_atom_site_fract_x
_atom_site_fract_y
_atom_site_fract_z
_atom_site_occupancy
Li1 Li 0.000 0.000 0.000 1
Li2 Li 0.000 0.237 0.753 1
Pd1 Pd 0.000 0.239 0.250 1
Pd2 Pd 0.248 0.000 0.494 1
Pb1 Pb 0.000 0.500 0.496 1
```

Entry 7:
DFT (PBE) results for crystalline Li7Pd3Pb at its relaxed geometry.

Values from the calculation:
calculated formation energy	-0.2266	eV/atom

The structure in CIF format:
```
data_Li7Pd3Pb
_cell_length_a 9.623
_cell_length_b 9.124
_cell_length_c 4.826
_cell_angle_alpha 90.00
_cell_angle_beta 119.43
_cell_angle_gamma 90.00
_space_group_name_H-M_alt 'C 1 2/m 1'
_space_group_IT_number 12
loop_
_space_group_symop_operation_xyz
'x,y,z'
'-x,-y,-z'
'-x,y,-z'
'x,-y,z'
'x+1/2,y+1/2,z'
'-x+1/2,-y+1/2,-z'
'-x+1/2,y+1/2,-z'
'x+1/2,-y+1/2,z'
loop_
_atom_site_label
_atom_site_type_symbol
_atom_site_fract_x
_atom_site_fract_y
_atom_site_fract_z
_atom_site_occupancy
Li1 Li 0.000 0.000 0.000 1
Li2 Li 0.165 0.500 0.161 1
Li3 Li 0.181 0.287 0.681 1
Pd1 Pd 0.000 0.270 0.000 1
Pd2 Pd 0.000 0.500 0.500 1
Pb1 Pb 0.000 0.000 0.500 1
```

Entry 8:
DFT (PBE) results for crystalline Li8Pd6Pb at its relaxed geometry.

Values from the calculation:
calculated formation energy	-0.2645	eV/atom

The structure in CIF format:
```
data_Li8Pd6Pb
_cell_length_a 7.7904
_cell_length_b 7.7904
_cell_length_c 15.2023
_cell_angle_alpha 90.00
_cell_angle_beta 90.00
_cell_angle_gamma 120.00
_space_group_name_H-M_alt 'R -3'
_space_group_IT_number 148
_space_group_name_Hall '-R 3'
loop_
_atom_site_label
_atom_site_type_symbol
_atom_site_fract_x
_atom_site_fract_y
_atom_site_fract_z
_atom_site_occupancy
Li1 Li 0.0000 0.0000 0.1653 1
Li2 Li 0.0003 0.3374 0.6227 1
Pd1 Pd 0.0017 0.3425 0.4586 1
Pb1 Pb 0.0000 0.0000 0.5000 1
```

Repeat the fifth record exactly.
DFT (PBE) results for crystalline Li7PdPb4 at its relaxed geometry.

Values from the calculation:
calculated formation energy	-0.2079	eV/atom

The structure in CIF format:
```
data_Li7PdPb4
_cell_length_a 14.429
_cell_length_b 4.953
_cell_length_c 8.374
_cell_angle_alpha 90.00
_cell_angle_beta 124.51
_cell_angle_gamma 90.00
_space_group_name_H-M_alt 'C 1 2/m 1'
_space_group_IT_number 12
loop_
_space_group_symop_operation_xyz
'x,y,z'
'-x,-y,-z'
'-x,y,-z'
'x,-y,z'
'x+1/2,y+1/2,z'
'-x+1/2,-y+1/2,-z'
'-x+1/2,y+1/2,-z'
'x+1/2,-y+1/2,z'
loop_
_atom_site_label
_atom_site_type_symbol
_atom_site_fract_x
_atom_site_fract_y
_atom_site_fract_z
_atom_site_occupancy
Li1 Li 0.000 0.000 0.000 1
Li2 Li 0.058 0.500 0.353 1
Li3 Li 0.177 0.500 0.007 1
Li4 Li 0.198 0.000 0.540 1
Pd1 Pd 0.000 0.500 0.000 1
Pb1 Pb 0.080 0.000 0.748 1
Pb2 Pb 0.240 0.000 0.240 1
```

What did the eighth record say?
DFT (PBE) results for crystalline Li8Pd6Pb at its relaxed geometry.

Values from the calculation:
calculated formation energy	-0.2645	eV/atom

The structure in CIF format:
```
data_Li8Pd6Pb
_cell_length_a 7.7904
_cell_length_b 7.7904
_cell_length_c 15.2023
_cell_angle_alpha 90.00
_cell_angle_beta 90.00
_cell_angle_gamma 120.00
_space_group_name_H-M_alt 'R -3'
_space_group_IT_number 148
_space_group_name_Hall '-R 3'
loop_
_atom_site_label
_atom_site_type_symbol
_atom_site_fract_x
_atom_site_fract_y
_atom_site_fract_z
_atom_site_occupancy
Li1 Li 0.0000 0.0000 0.1653 1
Li2 Li 0.0003 0.3374 0.6227 1
Pd1 Pd 0.0017 0.3425 0.4586 1
Pb1 Pb 0.0000 0.0000 0.5000 1
```

Question: Look up the calculated formation energy of the third one.
Answer: -0.2736 eV/atom